Density functional theory data (PBE-GGA) for a geometry-optimized Ac2Y4Tl3O2 structure.

a b c (Å): 13.357 13.357 13.357
angles (deg): 159.18 159.18 29.61
Fractional coordinates of all 11 atoms:
Ac 0.194 0.194 0.000
Ac 0.806 0.806 0.000
Y 0.080 0.580 0.500
Y 0.420 0.920 0.500
Y 0.580 0.080 0.500
Y 0.920 0.420 0.500
Tl 0.333 0.333 0.000
Tl 0.500 0.500 0.000
Tl 0.667 0.667 0.000
O 0.093 0.093 0.000
O 0.907 0.907 0.000

Results
**Magnetic moment**: 0.0 Bohr magnetons per cell
**Formation energy without anion corrections**: -1262 meV per atom
**Energy**: -5.906 eV per atom